No. 1
LaGdSe2 | PBE | relaxed

```
LaGdSe2
1.0
2.108 1.217 6.915
-2.108 1.217 6.915
0.000 -2.434 6.915
La Gd Se
1 1 2
Direct
0.000 0.000 0.000
0.500 0.500 0.500
0.245 0.245 0.245
0.755 0.755 0.755
```

The symmetry is R-3m, No. 166. The uncorrected formation energy comes out at -1933 meV/atom.

No. 2
Na12Ag6Hg | PBE | relaxed

```
Na12Ag6Hg
1.0
5.516 3.185 4.690
-5.516 3.185 4.690
0.000 -6.369 4.690
Na Ag Hg
12 6 1
Direct
0.030 0.310 0.923
0.077 0.970 0.690
0.123 0.352 0.474
0.310 0.923 0.030
0.352 0.474 0.123
0.474 0.123 0.352
0.526 0.877 0.648
0.648 0.526 0.877
0.690 0.077 0.970
0.877 0.648 0.526
0.923 0.030 0.310
0.970 0.690 0.077
0.239 0.607 0.753
0.247 0.761 0.393
0.393 0.247 0.761
0.607 0.753 0.239
0.753 0.239 0.607
0.761 0.393 0.247
0.500 0.500 0.500
```

The symmetry is R-3, No. 148. The energy of formation from the pure elements is -0.37 eV/f.u.

No. 3
FeAg2Pd5 | PBE | relaxed

```
FeAg2Pd5
1.0
-1.997 1.997 7.848
1.997 -1.997 7.848
1.997 1.997 -7.848
Fe Ag Pd
1 2 5
Direct
0.000 0.000 0.000
0.250 0.250 0.000
0.750 0.750 0.000
0.118 0.618 0.500
0.382 0.882 0.500
0.500 0.500 0.000
0.618 0.118 0.500
0.882 0.382 0.500
```

The symmetry is I4/mmm, No. 139. The energy of formation from the pure elements is -0.46 eV/f.u.

No. 4
AcNiAsH | PBE | relaxed

```
AcNiAsH
1.0
4.277 0.000 0.000
-2.138 3.704 0.000
0.000 0.000 4.421
Ac Ni As H
1 1 1 1
Direct
0.000 0.000 0.000
0.667 0.333 0.537
0.333 0.667 0.483
0.667 0.333 0.902
```

The symmetry is P3m1, No. 156.

Taking the records one at a time from the top gives total DFT energy (no corrections) values of -33.71, -33.61, -40.59, -21.25 eV/cell.
Taking the records one at a time from the top gives M_tot values of 6.830, 0.000, 4.624, 0.000 μB/f.u..
Taking the records one at a time from the top gives ρ values of 7.09, 3.78, 10.66, 8.57 g/cm3.